DFT (PBE) results for crystalline BaPRu2 at its relaxed geometry.

The structure in extended XYZ format:
```
8
Lattice="-2.4866 2.4866 7.9672 2.4866 -2.4866 7.9672 2.4866 2.4866 -7.9672" Properties=species:S:1:pos:R:3 pbc="T T T"
Ba 2.4866 1.2433 1.9918
Ba 0.0000 1.2433 5.9754
P 2.4866 -1.2433 5.9754
P 0.0000 3.7299 1.9918
Ru 0.0000 0.0000 0.0000
Ru 1.2433 1.2433 -3.9836
Ru 1.2433 -1.2433 3.9836
Ru 0.0000 2.4866 0.0000
```

E_form in eV/f.u.: -0.10
Calculated volume in Å³ per cell: 197
DOS at the Fermi energy in states/eV/cell: 9.44